No. 1
A geometry-optimized CdInHg2I structure. Source: Alexandria, functional PBE-GGA.

Values from the calculation:
**Energy above the most stable polymorph in this dataset**: 40 meV per atom
**Formation energy (no corrections)**: -7 meV/atom

Cell: 5.6890 5.6890 5.6225 Å, 90.00 90.00 90.00°
Closest atoms and distances in Å follow each position.
Space group P4/mmm (No. 123)
Asymmetric unit:
Cd  0.0000  0.0000  0.0000 x1  2 In 2.81
In  0.0000  0.0000  0.5000 x1  2 Cd 2.81, 4 Hg 2.84
Hg  0.0000  0.5000  0.5000 x2  2 In 2.84
I  0.5000  0.5000  0.0000 x1  8 Hg 4.00, 4 Cd 4.02


No. 2
A geometry-optimized NaGeWCl2 structure. Source: Alexandria, functional PBE-GGA.

Values from the calculation:
**Formation energy (no corrections)**: 1078 meV/atom

Cell: 5.1468 5.1468 5.9404 Å, 90.00 90.00 90.00°
Closest atoms and distances in Å follow each position.
Space group P4/mmm (No. 123)
Asymmetric unit:
Na  0.0000  0.0000  0.0000 x1  2 Ge 2.97
Ge  0.0000  0.0000  0.5000 x1  4 Cl 2.57
W  0.5000  0.5000  0.0000 x1  4 Na 3.64, 8 Cl 3.93
Cl  0.0000  0.5000  0.5000 x2  2 Ge 2.57


No. 3
A geometry-optimized KZn3Cr structure. Source: Alexandria, functional PBE-GGA.

Values from the calculation:
**Energy above the most stable polymorph in this dataset**: 0 meV per atom
**Formation energy**: 393 meV per atom

Cell: 5.0634 5.0634 5.0634 Å, 90.00 90.00 90.00°
Closest atoms and distances in Å follow each position.
Space group Pm-3m (No. 221)
Asymmetric unit:
K  0.0000  0.0000  0.0000 x1  12 Zn 3.58
Zn  0.0000  0.5000  0.5000 x3  2 Cr 2.53
Cr  0.5000  0.5000  0.5000 x1  6 Zn 2.53


No. 4
A geometry-optimized Mn2Nb2Pd7 structure. Source: Alexandria, functional PBE-GGA.

Values from the calculation:
**Formation energy**: -21 meV per atom

Cell: 9.4058 7.9150 4.9815 Å, 90.00 99.69 90.00°
Closest atoms and distances in Å follow each position.
Space group C2/m (No. 12)
Asymmetric unit:
Mn  0.2457  0.0000  0.2631 x4  6 Pd 2.55-2.82
Nb  0.0000  0.1882  0.0000 x4  8 Pd 2.68-2.90, 2 Mn 2.87, 1 Nb 2.98
Pd  0.0000  0.0000  0.5000 x2  4 Pd 2.69, 2 Mn 2.77, 4 Nb 2.90
Pd  0.0250  0.5000  0.2619 x4  4 Pd 2.50-2.72, 1 Mn 2.63, 2 Nb 2.78
Pd  0.2288  0.1796  0.7453 x8  2 Mn 2.55-2.82, 2 Nb 2.68-2.85, 5 Pd 2.69-2.84


No. 5
A geometry-optimized Yb structure. Source: Alexandria, functional PBE-GGA.

Values from the calculation:
**Energy above the most stable polymorph in this dataset**: 3 meV per atom
**Formation energy**: 3 meV per atom

Cell: 3.8234 6.6494 6.3315 Å, 90.00 90.00 90.00°
Closest atoms and distances in Å follow each position.
Space group Cmcm (No. 63)
Asymmetric unit:
Yb  0.0000  0.1646  0.2500 x4  12 Yb 3.82-3.87


No. 6
A geometry-optimized Sc2MnW structure. Source: Alexandria, functional PBE-GGA.

Values from the calculation:
**Energy above the most stable polymorph in this dataset**: 271 meV per atom
**Formation energy**: 318 meV per atom

Cell: 3.0519 3.0519 27.4149 Å, 90.00 90.00 120.00°
Closest atoms and distances in Å follow each position.
Space group R3m (No. 160, hexagonal axes)
Asymmetric unit:
Sc  0.0000  0.0000  0.0000 x3  3 W 2.92, 6 Sc 3.05
Sc  0.0000  0.0000  0.2254 x3  3 Mn 2.75, 6 Sc 3.05
Mn  0.0000  0.0000  0.4820 x3  3 W 2.48, 3 Sc 2.75
W  0.0000  0.0000  0.7515 x3  3 Mn 2.48


No. 7
A geometry-optimized PrDy2Hg3 structure. Source: Alexandria, functional PBE-GGA.

Values from the calculation:
**Energy above the most stable polymorph in this dataset**: 0 meV per atom
**Formation energy**: -476 meV per atom

Cell: 3.7641 3.7641 11.3453 Å, 90.00 90.00 90.00°
Closest atoms and distances in Å follow each position.
Space group P4/mmm (No. 123)
Asymmetric unit:
Pr  0.0000  0.0000  0.0000 x1  8 Hg 3.37, 4 Pr 3.76
Dy  0.0000  0.0000  0.3374 x2  8 Hg 3.19-3.24
Hg  0.5000  0.5000  0.1825 x2  4 Dy 3.19, 4 Pr 3.37
Hg  0.5000  0.5000  0.5000 x1  8 Dy 3.24, 2 Hg 3.60


No. 8
A geometry-optimized TlGeRh3 structure. Source: Alexandria, functional PBE-GGA.

Values from the calculation:
**Energy above the most stable polymorph in this dataset**: 0 meV per atom
**Formation energy**: 302 meV per atom

Cell: 4.5693 4.5693 4.5693 Å, 90.00 90.00 90.00°
Closest atoms and distances in Å follow each position.
Space group Pm-3m (No. 221)
Asymmetric unit:
Tl  0.0000  0.0000  0.0000 x1  12 Rh 3.23
Ge  0.5000  0.5000  0.5000 x1  6 Rh 2.28
Rh  0.0000  0.5000  0.5000 x3  2 Ge 2.28